1.
Below is a relaxed Ba6Ag2RhO crystal, with properties calculated at the PBE level.

Output
Energy relative to the elements, uncorrected = -0.605 eV/atom

Unit cell a=7.7319 b=8.4732 c=13.6481 alpha=90.00 beta=124.06 gamma=90.00
Atoms (fractional coordinates):
Ba  0.1297  0.0240  0.2371
Ba  0.1297  0.4760  0.7371
Ba  0.2290  0.6966  0.0538
Ba  0.2290  0.8034  0.5538
Ba  0.3528  0.1815  0.0498
Ba  0.3528  0.3185  0.5498
Ba  0.6472  0.6815  0.4502
Ba  0.6472  0.8185  0.9502
Ba  0.7710  0.1966  0.4462
Ba  0.7710  0.3034  0.9462
Ba  0.8703  0.5240  0.2629
Ba  0.8703  0.9760  0.7629
Ag  0.2918  0.0937  0.7515
Ag  0.2918  0.4063  0.2515
Ag  0.7082  0.5937  0.7485
Ag  0.7082  0.9063  0.2485
Rh  0.5000  0.0000  0.5000
Rh  0.5000  0.5000  0.0000
O  0.0000  0.0000  0.0000
O  0.0000  0.5000  0.5000


2.
Below is a relaxed Ba2Ag3RhO6 crystal, with properties calculated at the PBE level.

Output
Energy relative to the elements, uncorrected = -1.001 eV/atom

Unit cell a=6.6620 b=6.6620 c=5.8933 alpha=96.71 beta=96.71 gamma=125.76
Atoms (fractional coordinates):
Ba  0.1735  0.8265  0.0000
Ba  0.8265  0.1735  0.0000
Ag  0.0000  0.0000  0.5000
Ag  0.3713  0.6287  0.5000
Ag  0.6287  0.3713  0.5000
Rh  0.5000  0.5000  0.0000
O  0.1998  0.4486  0.7743
O  0.2600  0.2600  0.1558
O  0.4486  0.1998  0.7743
O  0.5514  0.8002  0.2257
O  0.7400  0.7400  0.8442
O  0.8002  0.5514  0.2257


3.
Below is a relaxed Ba4AgRh3O12 crystal, with properties calculated at the PBE level.

Output
Energy relative to the elements, uncorrected = -1.409 eV/atom

Unit cell a=7.1856 b=7.1856 c=7.1856 alpha=109.47 beta=109.47 gamma=109.47
Atoms (fractional coordinates):
Ba  0.0000  0.0000  0.5000
Ba  0.0000  0.5000  0.0000
Ba  0.5000  0.0000  0.0000
Ba  0.5000  0.5000  0.5000
Ag  0.0000  0.0000  0.0000
Rh  0.0000  0.5000  0.5000
Rh  0.5000  0.0000  0.5000
Rh  0.5000  0.5000  0.0000
O  0.0000  0.2672  0.2672
O  0.0000  0.7328  0.7328
O  0.2500  0.5000  0.7500
O  0.2500  0.7500  0.5000
O  0.2672  0.0000  0.2672
O  0.2672  0.2672  0.0000
O  0.5000  0.2500  0.7500
O  0.5000  0.7500  0.2500
O  0.7328  0.0000  0.7328
O  0.7328  0.7328  0.0000
O  0.7500  0.2500  0.5000
O  0.7500  0.5000  0.2500


4.
Below is a relaxed Ba2AgRuO6 crystal, with properties calculated at the PBE level.

Output
Energy relative to the elements, uncorrected = -1.485 eV/atom

Unit cell a=5.9741 b=5.9687 c=5.9436 alpha=60.20 beta=60.11 gamma=59.69
Atoms (fractional coordinates):
Ba  0.2500  0.2500  0.2500
Ba  0.7500  0.7500  0.7500
Ag  0.0000  0.0000  0.0000
Ru  0.5000  0.5000  0.5000
O  0.2702  0.7298  0.2702
O  0.2697  0.7303  0.7303
O  0.2725  0.2725  0.7275
O  0.7275  0.7275  0.2725
O  0.7303  0.2697  0.2697
O  0.7298  0.2702  0.7298


5.
Below is a relaxed Ba3Ag2RuO6 crystal, with properties calculated at the PBE level.

Output
Energy relative to the elements, uncorrected = -1.459 eV/atom

Unit cell a=5.9899 b=5.9899 c=6.9143 alpha=90.00 beta=90.00 gamma=120.00
Atoms (fractional coordinates):
Ba  0.0000  0.0000  0.0000
Ba  0.3333  0.6667  0.6226
Ba  0.6667  0.3333  0.3774
Ag  0.3333  0.6667  0.1262
Ag  0.6667  0.3333  0.8738
Ru  0.0000  0.0000  0.5000
O  0.1562  0.3125  0.3312
O  0.1562  0.8438  0.3312
O  0.3125  0.1562  0.6688
O  0.6875  0.8438  0.3312
O  0.8438  0.1562  0.6688
O  0.8438  0.6875  0.6688


6.
Below is a relaxed BaAg2RuO crystal, with properties calculated at the PBE level.

Output
Energy relative to the elements, uncorrected = 1.127 eV/atom

Unit cell a=5.9899 b=5.9899 c=4.4079 alpha=90.00 beta=90.00 gamma=90.00
Atoms (fractional coordinates):
Ba  0.0000  0.0000  0.0000
Ag  0.0000  0.5000  0.0000
Ag  0.5000  0.0000  0.0000
Ru  0.5000  0.5000  0.5000
O  0.0000  0.0000  0.5000


7.
Below is a relaxed BaAgSO4 crystal, with properties calculated at the PBE level.

Output
Energy relative to the elements, uncorrected = -1.149 eV/atom

Unit cell a=6.2203 b=6.2203 c=6.2203 alpha=60.00 beta=60.00 gamma=60.00
Atoms (fractional coordinates):
Ba  0.0000  0.0000  0.0000
Ag  0.7500  0.7500  0.7500
S  0.5000  0.5000  0.5000
O  0.2053  0.5982  0.5982
O  0.5982  0.2053  0.5982
O  0.5982  0.5982  0.2053
O  0.5982  0.5982  0.5982


8.
Below is a relaxed BaAg2SbO4 crystal, with properties calculated at the PBE level.

Output
Energy relative to the elements, uncorrected = -1.165 eV/atom

Unit cell a=6.1872 b=6.2378 c=7.3906 alpha=90.00 beta=90.00 gamma=90.00
Atoms (fractional coordinates):
Ba  0.0000  0.0000  0.0000
Ba  0.5000  0.5000  0.5000
Ag  0.0000  0.5000  0.2171
Ag  0.0000  0.5000  0.7829
Ag  0.5000  0.0000  0.2829
Ag  0.5000  0.0000  0.7171
Sb  0.0000  0.0000  0.5000
Sb  0.5000  0.5000  0.0000
O  0.1805  0.1811  0.3377
O  0.1805  0.8189  0.6623
O  0.3195  0.3189  0.8377
O  0.3195  0.6811  0.1623
O  0.6805  0.3189  0.1623
O  0.6805  0.6811  0.8377
O  0.8195  0.1811  0.6623
O  0.8195  0.8189  0.3377